Crystalline RbCePm4Se8 at its relaxed geometry. Source: Alexandria via LeMat-Bulk, functional PBE-GGA.

Lattice parameters (Å, degrees): 8.8835 8.8835 8.8835 59.60 59.60 59.60
Fractional positions:
Rb (0.0000, 0.0000, 0.0000)
Ce (0.6289, 0.6289, 0.6289)
Pm (0.1127, 0.6299, 0.6299)
Pm (0.2509, 0.2509, 0.2509)
Pm (0.6299, 0.1127, 0.6299)
Pm (0.6299, 0.6299, 0.1127)
Se (0.3809, 0.3809, 0.8545)
Se (0.3809, 0.8545, 0.3809)
Se (0.3828, 0.3828, 0.3828)
Se (0.4283, 0.8586, 0.8586)
Se (0.8545, 0.3809, 0.3809)
Se (0.8583, 0.8583, 0.8583)
Se (0.8586, 0.4283, 0.8586)
Se (0.8586, 0.8586, 0.4283)

Results
The space group is No. 160. The density of states at the Fermi level comes out at 8.34 states/eV per cell. The total energy is -5.557 eV/atom. The formation energy (no corrections) is -24.02 eV per formula unit.